1.
Compound: TlSnPd
Source: Alexandria via LeMat-Bulk
Functional: PBE
Structure: relaxed

CIF file:
```
data_TlSnPd
_chemical_formula_sum 'Tl1 Sn1 Pd1'
_cell_length_a 3.5371
_cell_length_b 3.5371
_cell_length_c 6.5064
_cell_angle_alpha 90.00
_cell_angle_beta 90.00
_cell_angle_gamma 120.00
_symmetry_space_group_name_H-M 'P 3 m 1'
_symmetry_Int_Tables_number 156
loop_
_symmetry_equiv_pos_as_xyz
'x,y,z'
'-y,x-y,z'
'-x+y,-x,z'
'-y,-x,z'
'-x+y,y,z'
'x,x-y,z'
loop_
_atom_site_label
_atom_site_type_symbol
_atom_site_fract_x
_atom_site_fract_y
_atom_site_fract_z
Tl1 Tl 0.0000 0.0000 0.0000
Sn1 Sn 0.6667 0.3333 0.4061
Pd1 Pd 0.3333 0.6667 0.6795
```

Values from the calculation:
* crystal system: trigonal
* formation enthalpy at 0 K: -156 meV/atom
* final energy: -4.010 eV per atom


2.
Compound: Ti8Al3In2
Source: Alexandria via LeMat-Bulk
Functional: PBE
Structure: relaxed

CIF file:
```
data_Ti8Al3In2
_chemical_formula_sum 'Ti16 Al6 In4'
_cell_length_a 2.956
_cell_length_b 9.213
_cell_length_c 16.901
_cell_angle_alpha 90.00
_cell_angle_beta 90.00
_cell_angle_gamma 90.00
_symmetry_space_group_name_H-M 'I m m m'
_symmetry_Int_Tables_number 71
_symmetry_space_group_name_Hall '-I 2 2'
loop_
_atom_site_label
_atom_site_type_symbol
_atom_site_fract_x
_atom_site_fract_y
_atom_site_fract_z
Ti1 Ti 0.000 0.000 0.076
Ti2 Ti 0.000 0.000 0.368
Ti3 Ti 0.000 0.258 0.153
Al1 Al 0.000 0.266 0.500
Al2 Al 0.000 0.500 0.000
In1 In 0.000 0.500 0.277
```

Values from the calculation:
* crystal system: orthorhombic
* formation enthalpy at 0 K: -81 meV/atom
* final energy: -6.224 eV per atom


3.
Compound: HoTmTcAu
Source: Alexandria via LeMat-Bulk
Functional: PBE
Structure: relaxed

CIF file:
```
data_HoTmTcAu
_chemical_formula_sum 'Ho4 Tm4 Tc4 Au4'
_cell_length_a 6.942
_cell_length_b 6.942
_cell_length_c 6.942
_cell_angle_alpha 90.00
_cell_angle_beta 90.00
_cell_angle_gamma 90.00
_symmetry_space_group_name_H-M 'F -4 3 m'
_symmetry_Int_Tables_number 216
_symmetry_space_group_name_Hall 'F -4 2 3'
loop_
_atom_site_label
_atom_site_type_symbol
_atom_site_fract_x
_atom_site_fract_y
_atom_site_fract_z
Ho1 Ho 0.000 0.000 0.000
Tm1 Tm 0.000 0.000 0.500
Tc1 Tc 0.250 0.250 0.750
Au1 Au 0.250 0.250 0.250
```

Values from the calculation:
* crystal system: cubic
* formation enthalpy at 0 K: -400 meV/atom
* final energy: -6.073 eV per atom


4.
Compound: Cs2H2Se3
Source: Alexandria via LeMat-Bulk
Functional: PBE
Structure: relaxed

CIF file:
```
data_Cs2H2Se3
_chemical_formula_sum 'Cs2 H2 Se3'
_cell_length_a 5.421
_cell_length_b 5.171
_cell_length_c 7.938
_cell_angle_alpha 90.00
_cell_angle_beta 91.62
_cell_angle_gamma 90.00
_symmetry_space_group_name_H-M 'P 1 2/m 1'
_symmetry_Int_Tables_number 10
loop_
_symmetry_equiv_pos_as_xyz
'x,y,z'
'-x,-y,-z'
'-x,y,-z'
'x,-y,z'
loop_
_atom_site_label
_atom_site_type_symbol
_atom_site_fract_x
_atom_site_fract_y
_atom_site_fract_z
Cs1 Cs 0.193 0.000 0.241
H1 H 0.406 0.500 0.780
Se1 Se 0.303 0.500 0.568
Se2 Se 0.500 0.500 0.000
```

Values from the calculation:
* crystal system: monoclinic
* final energy: -3.205 eV per atom


5.
Compound: AgP2Ir2
Source: Alexandria via LeMat-Bulk
Functional: PBE
Structure: relaxed

CIF file:
```
data_AgP2Ir2
_chemical_formula_sum 'Ag2 P4 Ir4'
_cell_length_a 3.840
_cell_length_b 3.840
_cell_length_c 10.949
_cell_angle_alpha 90.00
_cell_angle_beta 90.00
_cell_angle_gamma 90.00
_symmetry_space_group_name_H-M 'I 4/m m m'
_symmetry_Int_Tables_number 139
_symmetry_space_group_name_Hall '-I 4 2'
loop_
_atom_site_label
_atom_site_type_symbol
_atom_site_fract_x
_atom_site_fract_y
_atom_site_fract_z
Ag1 Ag 0.000 0.000 0.000
P1 P 0.000 0.500 0.250
Ir1 Ir 0.000 0.000 0.370
```

Values from the calculation:
* crystal system: tetragonal
* formation enthalpy at 0 K: -111 meV/atom
* final energy: -6.389 eV per atom


6.
Compound: La3TmTh2As6
Source: Alexandria via LeMat-Bulk
Functional: PBE
Structure: relaxed

CIF file:
```
data_La3TmTh2As6
_chemical_formula_sum 'La6 Tm2 Th4 As12'
_cell_length_a 7.400
_cell_length_b 12.829
_cell_length_c 7.441
_cell_angle_alpha 90.00
_cell_angle_beta 109.37
_cell_angle_gamma 90.00
_symmetry_space_group_name_H-M 'C 1 2/m 1'
_symmetry_Int_Tables_number 12
loop_
_symmetry_equiv_pos_as_xyz
'x,y,z'
'-x,-y,-z'
'-x,y,-z'
'x,-y,z'
'x+1/2,y+1/2,z'
'-x+1/2,-y+1/2,-z'
'-x+1/2,y+1/2,-z'
'x+1/2,-y+1/2,z'
loop_
_atom_site_label
_atom_site_type_symbol
_atom_site_fract_x
_atom_site_fract_y
_atom_site_fract_z
La1 La 0.000 0.000 0.000
La2 La 0.000 0.332 0.000
Tm1 Tm 0.000 0.500 0.500
Th1 Th 0.000 0.166 0.500
As1 As 0.243 0.336 0.738
As2 As 0.249 0.500 0.261
```

Values from the calculation:
* crystal system: monoclinic
* formation enthalpy at 0 K: -1520 meV/atom
* final energy: -6.686 eV per atom


7.
Compound: TePd
Source: Alexandria via LeMat-Bulk
Functional: PBE
Structure: relaxed

CIF file:
```
data_TePd
_chemical_formula_sum 'Te2 Pd2'
_cell_length_a 4.007
_cell_length_b 4.007
_cell_length_c 5.778
_cell_angle_alpha 90.00
_cell_angle_beta 90.00
_cell_angle_gamma 90.00
_symmetry_space_group_name_H-M 'P 4/n m m'
_symmetry_Int_Tables_number 129
loop_
_symmetry_equiv_pos_as_xyz
'x,y,z'
'-x,-y,-z'
'-y+1/2,x,z'
'y+1/2,-x,-z'
'-x+1/2,-y+1/2,z'
'x+1/2,y+1/2,-z'
'y,-x+1/2,z'
'-y,x+1/2,-z'
'x+1/2,-y,-z'
'-x+1/2,y,z'
'-y,-x,-z'
'y,x,z'
'-x,y+1/2,-z'
'x,-y+1/2,z'
'y+1/2,x+1/2,-z'
'-y+1/2,-x+1/2,z'
loop_
_atom_site_label
_atom_site_type_symbol
_atom_site_fract_x
_atom_site_fract_y
_atom_site_fract_z
Te1 Te 0.250 0.250 0.181
Pd1 Pd 0.250 0.750 0.500
```

Values from the calculation:
* crystal system: tetragonal
* final energy: -4.409 eV per atom


8.
Compound: HoTlH
Source: Alexandria via LeMat-Bulk
Functional: PBE
Structure: relaxed

CIF file:
```
data_HoTlH
_chemical_formula_sum 'Ho2 Tl2 H2'
_cell_length_a 3.624
_cell_length_b 3.624
_cell_length_c 8.930
_cell_angle_alpha 90.00
_cell_angle_beta 90.00
_cell_angle_gamma 90.00
_symmetry_space_group_name_H-M 'P 4/n m m'
_symmetry_Int_Tables_number 129
loop_
_symmetry_equiv_pos_as_xyz
'x,y,z'
'-x,-y,-z'
'-y+1/2,x,z'
'y+1/2,-x,-z'
'-x+1/2,-y+1/2,z'
'x+1/2,y+1/2,-z'
'y,-x+1/2,z'
'-y,x+1/2,-z'
'x+1/2,-y,-z'
'-x+1/2,y,z'
'-y,-x,-z'
'y,x,z'
'-x,y+1/2,-z'
'x,-y+1/2,z'
'y+1/2,x+1/2,-z'
'-y+1/2,-x+1/2,z'
loop_
_atom_site_label
_atom_site_type_symbol
_atom_site_fract_x
_atom_site_fract_y
_atom_site_fract_z
Ho1 Ho 0.250 0.250 0.143
Tl1 Tl 0.250 0.250 0.624
H1 H 0.250 0.750 0.000
```

Values from the calculation:
* crystal system: tetragonal
* final energy: -3.804 eV per atom


9.
Compound: Ta3Ti3B4
Source: Alexandria via LeMat-Bulk
Functional: PBE
Structure: relaxed

CIF file:
```
data_Ta3Ti3B4
_chemical_formula_sum 'Ta6 Ti6 B8'
_cell_length_a 3.249
_cell_length_b 8.617
_cell_length_c 8.704
_cell_angle_alpha 90.00
_cell_angle_beta 90.00
_cell_angle_gamma 90.00
_symmetry_space_group_name_H-M 'A m m 2'
_symmetry_Int_Tables_number 38
loop_
_symmetry_equiv_pos_as_xyz
'x,y,z'
'-x,-y,z'
'-x,y,z'
'x,-y,z'
'x,y+1/2,z+1/2'
'-x,-y+1/2,z+1/2'
'-x,y+1/2,z+1/2'
'x,-y+1/2,z+1/2'
loop_
_atom_site_label
_atom_site_type_symbol
_atom_site_fract_x
_atom_site_fract_y
_atom_site_fract_z
Ta1 Ta 0.000 0.000 0.000
Ta2 Ta 0.000 0.180 0.679
Ti1 Ti 0.000 0.000 0.357
Ti2 Ti 0.500 0.248 0.429
B1 B 0.500 0.000 0.574
B2 B 0.500 0.000 0.787
B3 B 0.500 0.106 0.179
```

Values from the calculation:
* crystal system: orthorhombic
* formation enthalpy at 0 K: -656 meV/atom
* final energy: -9.251 eV per atom


10.
Compound: KLi3Cr
Source: Alexandria via LeMat-Bulk
Functional: PBE
Structure: relaxed

CIF file:
```
data_KLi3Cr
_chemical_formula_sum 'K1 Li3 Cr1'
_cell_length_a 5.435
_cell_length_b 5.435
_cell_length_c 5.435
_cell_angle_alpha 90.00
_cell_angle_beta 90.00
_cell_angle_gamma 90.00
_symmetry_space_group_name_H-M 'P m -3 m'
_symmetry_Int_Tables_number 221
_symmetry_space_group_name_Hall '-P 4 2 3'
loop_
_atom_site_label
_atom_site_type_symbol
_atom_site_fract_x
_atom_site_fract_y
_atom_site_fract_z
K1 K 0.000 0.000 0.000
Li1 Li 0.000 0.500 0.500
Cr1 Cr 0.500 0.500 0.500
```

Values from the calculation:
* crystal system: cubic
* formation enthalpy at 0 K: 563 meV/atom
* final energy: -2.730 eV per atom


11.
Compound: Ca5PdAu4
Source: Alexandria via LeMat-Bulk
Functional: PBE
Structure: relaxed

CIF file:
```
data_Ca5PdAu4
_chemical_formula_sum 'Ca5 Pd1 Au4'
_cell_length_a 3.623
_cell_length_b 3.623
_cell_length_c 18.054
_cell_angle_alpha 90.00
_cell_angle_beta 90.00
_cell_angle_gamma 90.00
_symmetry_space_group_name_H-M 'P 4/m m m'
_symmetry_Int_Tables_number 123
_symmetry_space_group_name_Hall '-P 4 2'
loop_
_atom_site_label
_atom_site_type_symbol
_atom_site_fract_x
_atom_site_fract_y
_atom_site_fract_z
Ca1 Ca 0.000 0.000 0.000
Ca2 Ca 0.000 0.000 0.202
Ca3 Ca 0.000 0.000 0.405
Pd1 Pd 0.500 0.500 0.500
Au1 Au 0.500 0.500 0.101
Au2 Au 0.500 0.500 0.305
```

Values from the calculation:
* crystal system: tetragonal
* formation enthalpy at 0 K: -768 meV/atom
* final energy: -3.599 eV per atom


12.
Compound: In2CuSi
Source: Alexandria via LeMat-Bulk
Functional: PBE
Structure: relaxed

CIF file:
```
data_In2CuSi
_chemical_formula_sum 'In4 Cu2 Si2'
_cell_length_a 7.890
_cell_length_b 3.273
_cell_length_c 6.575
_cell_angle_alpha 90.00
_cell_angle_beta 103.30
_cell_angle_gamma 90.00
_symmetry_space_group_name_H-M 'C 1 2/m 1'
_symmetry_Int_Tables_number 12
loop_
_symmetry_equiv_pos_as_xyz
'x,y,z'
'-x,-y,-z'
'-x,y,-z'
'x,-y,z'
'x+1/2,y+1/2,z'
'-x+1/2,-y+1/2,-z'
'-x+1/2,y+1/2,-z'
'x+1/2,-y+1/2,z'
loop_
_atom_site_label
_atom_site_type_symbol
_atom_site_fract_x
_atom_site_fract_y
_atom_site_fract_z
In1 In 0.242 0.000 0.237
Cu1 Cu 0.000 0.500 0.000
Si1 Si 0.000 0.000 0.500
```

Values from the calculation:
* crystal system: monoclinic
* final energy: -3.434 eV per atom


13.
Compound: Ti3Ga
Source: Alexandria via LeMat-Bulk
Functional: PBE
Structure: relaxed

CIF file:
```
data_Ti3Ga
_chemical_formula_sum 'Ti6 Ga2'
_cell_length_a 2.896
_cell_length_b 9.357
_cell_length_c 4.894
_cell_angle_alpha 90.00
_cell_angle_beta 90.00
_cell_angle_gamma 90.00
_symmetry_space_group_name_H-M 'I m m 2'
_symmetry_Int_Tables_number 44
loop_
_symmetry_equiv_pos_as_xyz
'x,y,z'
'-x,-y,z'
'-x,y,z'
'x,-y,z'
'x+1/2,y+1/2,z+1/2'
'-x+1/2,-y+1/2,z+1/2'
'-x+1/2,y+1/2,z+1/2'
'x+1/2,-y+1/2,z+1/2'
loop_
_atom_site_label
_atom_site_type_symbol
_atom_site_fract_x
_atom_site_fract_y
_atom_site_fract_z
Ti1 Ti 0.000 0.000 0.000
Ti2 Ti 0.000 0.240 0.354
Ga1 Ga 0.000 0.500 0.021
```

Values from the calculation:
* crystal system: orthorhombic
* formation enthalpy at 0 K: -229 meV/atom
* final energy: -6.907 eV per atom


Number 1: volume 70.50 Å³/cell, total magnetic moment 0.00 Bohr magnetons per cell. Number 2: volume 460.30 Å³/cell, total magnetic moment 2.01 Bohr magnetons per cell. Number 3: volume 334.56 Å³/cell, total magnetic moment 0.00 Bohr magnetons per cell. Number 4: volume 222.39 Å³/cell, total magnetic moment 0.00 Bohr magnetons per cell. Number 5: volume 161.46 Å³/cell, total magnetic moment 0.00 Bohr magnetons per cell. Number 6: volume 666.45 Å³/cell, total magnetic moment 0.00 Bohr magnetons per cell. Number 7: volume 92.75 Å³/cell, total magnetic moment 0.00 Bohr magnetons per cell. Number 8: volume 117.26 Å³/cell, total magnetic moment 0.00 Bohr magnetons per cell. Number 9: volume 243.70 Å³/cell, total magnetic moment 0.00 Bohr magnetons per cell. Number 10: volume 160.56 Å³/cell, total magnetic moment 5.66 Bohr magnetons per cell. Number 11: volume 237.00 Å³/cell, total magnetic moment 0.00 Bohr magnetons per cell. Number 12: volume 165.25 Å³/cell, total magnetic moment 0.00 Bohr magnetons per cell. Number 13: volume 132.61 Å³/cell, total magnetic moment 0.00 Bohr magnetons per cell.